# ThUC2

An optimized crystal structure of ThUC2 (PBEsol, the Alexandria database).

Its crystal system is trigonal. As for the energy relative to the elements: -0.262 eV/atom.

The structure belongs to space group R-3m (No. 166, hexagonal axes); the cell edges are 3.5936, 3.5936 and 17.4519 Å and the angles 90.00°, 90.00° and 120.00°. The inequivalent atoms are Th at (0.0000, 0.0000, 0.0000), U at (0.0000, 0.0000, 0.5000) and C at (0.0000, 0.0000, 0.2333).


# PuH2

An optimized crystal structure of PuH2 (PBEsol, the Alexandria database).

For the total energy, the calculation gives -7.404 eV per atom. Its crystal system is cubic.

The structure belongs to space group Fm-3m (No. 225); the cell edges are 5.1734, 5.1734 and 5.1734 Å and the angles 90.00°, 90.00° and 90.00°. The inequivalent atoms are Pu at (0.0000, 0.0000, 0.0000) and H at (0.2500, 0.2500, 0.2500).


# UGa6Fe6

An optimized crystal structure of UGa6Fe6 (PBEsol, the Alexandria database).

Its crystal system is orthorhombic. As for the energy relative to the elements: -0.236 eV/atom.

The structure belongs to space group Immm (No. 71); the cell edges are 4.9123, 8.3158 and 8.5183 Å and the angles 90.00°, 90.00° and 90.00°. The inequivalent atoms are U at (0.0000, 0.0000, 0.0000), Ga at (0.0000, 0.0000, 0.3474), Ga at (0.0000, 0.3427, 0.0000), Ga at (0.0000, 0.5000, 0.3089), Fe at (0.0000, 0.2655, 0.5000) and Fe at (0.2500, 0.2500, 0.2500).


# HgBAsBr2

An optimized crystal structure of HgBAsBr2 (PBEsol, the Alexandria database).

The uncorrected formation energy is 1.367 eV per atom. Its crystal system is tetragonal.

The structure belongs to space group P4/mmm (No. 123); the cell edges are 5.4446, 5.4446 and 5.1690 Å and the angles 90.00°, 90.00° and 90.00°. The inequivalent atoms are Hg at (0.0000, 0.0000, 0.0000), B at (0.5000, 0.5000, 0.5000), As at (0.0000, 0.0000, 0.5000) and Br at (0.0000, 0.5000, 0.0000).